The following is a PBE calculation of an optimized crystal structure of Tb4Er9Hg11, from Alexandria via LeMat-Bulk.

Properties
Energy relative to the elements = -0.368 eV/atom
Density of states at the Fermi level = 22.56 states/eV per cell
Electronic total energy = -2.989 eV per atom
Spin magnetization = 0.0567 μB per atom
Space-group type = Cmmm

Lattice parameters (Å, degrees): 13.6470 13.6470 3.5444 90.00 90.00 109.45
Closest atoms and distances in Å follow each position.
Fractional coordinates of all 24 atoms:
1 Tb 0.0778 0.2477 0.0000  3 Er 3.19-3.54, 6 Hg 3.20-3.28, 2 Tb 3.54
2 Tb 0.2477 0.0778 0.0000  3 Er 3.19-3.54, 6 Hg 3.20-3.28, 2 Tb 3.54
3 Tb 0.7523 0.9222 0.0000  3 Er 3.19-3.54, 6 Hg 3.20-3.28, 2 Tb 3.54
4 Tb 0.9222 0.7523 0.0000  3 Er 3.19-3.54, 6 Hg 3.20-3.28, 2 Tb 3.54
5 Er 0.0000 0.0000 0.0000  4 Tb 3.19, 4 Hg 3.40, 2 Er 3.54
6 Er 0.1202 0.6488 0.0000  8 Hg 3.17-3.46, 1 Tb 3.44, 2 Er 3.54
7 Er 0.2961 0.4783 0.0000  8 Hg 3.17-3.24, 1 Tb 3.54, 2 Er 3.54
8 Er 0.3512 0.8798 0.0000  8 Hg 3.17-3.46, 1 Tb 3.44, 2 Er 3.54
9 Er 0.4783 0.2961 0.0000  8 Hg 3.17-3.24, 1 Tb 3.54, 2 Er 3.54
10 Er 0.5217 0.7039 0.0000  8 Hg 3.17-3.24, 1 Tb 3.54, 2 Er 3.54
11 Er 0.6488 0.1202 0.0000  8 Hg 3.17-3.46, 1 Tb 3.44, 2 Er 3.54
12 Er 0.7039 0.5217 0.0000  8 Hg 3.17-3.24, 1 Tb 3.54, 2 Er 3.54
13 Er 0.8798 0.3512 0.0000  8 Hg 3.17-3.46, 1 Tb 3.44, 2 Er 3.54
14 Hg 0.0887 0.4463 0.5000  6 Er 3.19-3.24, 2 Tb 3.20, 3 Hg 3.22-3.54
15 Hg 0.1301 0.8699 0.5000  4 Tb 3.28, 6 Er 3.40-3.46, 2 Hg 3.54
16 Hg 0.2816 0.2816 0.5000  4 Er 3.17, 4 Tb 3.20, 3 Hg 3.44-3.54
17 Hg 0.3210 0.6790 0.5000  8 Er 3.17-3.18, 2 Hg 3.54
18 Hg 0.4463 0.0887 0.5000  6 Er 3.19-3.24, 2 Tb 3.20, 3 Hg 3.22-3.54
19 Hg 0.5000 0.5000 0.5000  8 Er 3.23, 4 Hg 3.44-3.54
20 Hg 0.5537 0.9113 0.5000  6 Er 3.19-3.24, 2 Tb 3.20, 3 Hg 3.22-3.54
21 Hg 0.6790 0.3210 0.5000  8 Er 3.17-3.18, 2 Hg 3.54
22 Hg 0.7184 0.7184 0.5000  4 Er 3.17, 4 Tb 3.20, 3 Hg 3.44-3.54
23 Hg 0.8699 0.1301 0.5000  4 Tb 3.28, 6 Er 3.40-3.46, 2 Hg 3.54
24 Hg 0.9113 0.5537 0.5000  6 Er 3.19-3.24, 2 Tb 3.20, 3 Hg 3.22-3.54

***

The following is a PBE calculation of an optimized crystal structure of TaTc2Pt, from Alexandria via LeMat-Bulk.

Properties
Energy relative to the elements = -0.031 eV/atom
Density of states at the Fermi level = 5.58 states/eV per cell
ΔE to the lowest computed polymorph = 1.313 eV/f.u.
Electronic total energy = -9.687 eV per atom
Spin magnetization = 0.0003 μB per atom
Space-group type = P4/mmm

Lattice parameters (Å, degrees): 2.7491 2.7491 8.3342 90.00 90.00 90.00
Closest atoms and distances in Å follow each position.
Fractional coordinates of all 4 atoms:
1 Ta 0.0000 0.0000 0.0000  4 Ta 2.75, 8 Tc 2.91
2 Tc 0.5000 0.5000 0.2595  4 Tc 2.75, 4 Pt 2.79, 4 Ta 2.91
3 Tc 0.5000 0.5000 0.7405  4 Tc 2.75, 4 Pt 2.79, 4 Ta 2.91
4 Pt 0.0000 0.0000 0.5000  4 Pt 2.75, 8 Tc 2.79

***

The following is a PBE calculation of an optimized crystal structure of PrSmZnIr, from Alexandria via LeMat-Bulk.

Properties
Energy relative to the elements = -0.512 eV/atom
Density of states at the Fermi level = 3.52 states/eV per cell
ΔE to the lowest computed polymorph = 0.000 eV/f.u.
Electronic total energy = -5.421 eV per atom
Spin magnetization = 0.0000 μB per atom
Space-group type = Amm2

Lattice parameters (Å, degrees): 4.4388 5.8324 5.8324 40.38 90.00 90.00
Closest atoms and distances in Å follow each position.
Fractional coordinates of all 4 atoms:
1 Pr 0.0000 0.0000 0.0000  3 Ir 3.06-3.17, 4 Zn 3.10
2 Sm 0.5000 0.2784 0.2784  3 Zn 3.02-3.22, 4 Ir 3.09
3 Zn 0.5000 0.5728 0.5728  2 Ir 2.68
4 Ir 0.0000 0.7105 0.7105  2 Zn 2.68

***

The following is a PBE calculation of an optimized crystal structure of LaAs2WBr, from Alexandria via LeMat-Bulk.

Properties
Density of states at the Fermi level = 4.87 states/eV per cell
ΔE to the lowest computed polymorph = 0.000 eV/f.u.
Electronic total energy = -5.962 eV per atom
Spin magnetization = 0.0001 μB per atom
Formation energy (no corrections) = -18 kJ/mol of atoms
Space-group type = P4/mmm

Lattice parameters (Å, degrees): 4.8681 4.8681 5.3162 90.00 90.00 90.00
Closest atoms and distances in Å follow each position.
Fractional coordinates of all 5 atoms:
1 La 0.0000 0.0000 0.0000  4 Br 3.44, 8 As 3.60
2 As 0.0000 0.5000 0.5000  2 W 2.43
3 As 0.5000 0.0000 0.5000  2 W 2.43
4 W 0.5000 0.5000 0.5000  4 As 2.43, 2 Br 2.66
5 Br 0.5000 0.5000 0.0000  2 W 2.66

***

The following is a PBE calculation of an optimized crystal structure of Cs2ZnGa, from Alexandria via LeMat-Bulk.

Properties
Energy relative to the elements = 0.300 eV/atom
Density of states at the Fermi level = 4.38 states/eV per cell
ΔE to the lowest computed polymorph = 0.000 eV/f.u.
Electronic total energy = -1.202 eV per atom
Spin magnetization = 0.5377 μB per atom
Space-group type = Fm-3m

Lattice parameters (Å, degrees): 6.4511 6.4511 6.4511 60.00 60.00 60.00
Closest atoms and distances in Å follow each position.
Fractional coordinates of all 4 atoms:
1 Cs 0.2500 0.2500 0.2500  4 Zn 3.95, 4 Ga 3.95
2 Cs 0.7500 0.7500 0.7500  4 Zn 3.95, 4 Ga 3.95
3 Zn 0.0000 0.0000 0.0000  8 Cs 3.95
4 Ga 0.5000 0.5000 0.5000  8 Cs 3.95

***

The following is a PBE calculation of an optimized crystal structure of RbPrTiS4, from Alexandria via LeMat-Bulk.

Properties
Density of states at the Fermi level = 0.00 states/eV per cell
Electronic total energy = -5.921 eV per atom
Spin magnetization = 0.0000 μB per atom
Formation energy (no corrections) = -156 kJ/mol of atoms
Space-group type = P2_1/m

Lattice parameters (Å, degrees): 6.8355 6.7886 9.2039 90.00 107.72 90.00
Closest atoms and distances in Å follow each position.
Fractional coordinates of all 14 atoms:
1 Rb 0.2228 0.2500 0.4354  8 S 3.36-3.69
2 Rb 0.7772 0.7500 0.5646  8 S 3.36-3.69
3 Pr 0.2782 0.2500 0.9507  6 S 2.90-2.95
4 Pr 0.7218 0.7500 0.0493  6 S 2.90-2.95
5 Ti 0.2732 0.7500 0.1724  4 S 2.23-2.28
6 Ti 0.7268 0.2500 0.8276  4 S 2.23-2.28
7 S 0.0699 0.7500 0.3239  1 Ti 2.25
8 S 0.0738 0.7500 0.9301  1 Ti 2.23
9 S 0.5000 0.0043 0.2066  1 Ti 2.28
10 S 0.5000 0.4957 0.2066  1 Ti 2.28
11 S 0.5000 0.5043 0.7934  1 Ti 2.28
12 S 0.5000 0.9957 0.7934  1 Ti 2.28
13 S 0.9262 0.2500 0.0699  1 Ti 2.23
14 S 0.9301 0.2500 0.6761  1 Ti 2.25